VASP calculation (PBE+U) on NaCoBiO4 after structural relaxation.

a = 6.036 Å, b = 6.963 Å, c = 8.939 Å
α = 90.00°, β = 90.00°, γ = 90.00°
Space group Imma (No. 74)
One atom of each set of equivalent atoms:
Na1 0.000 0.250 0.137 [4 per cell]
Co1 0.250 0.250 0.750 [4 per cell]
Bi1 0.000 0.000 0.500 [4 per cell]
O1 0.000 0.064 0.751 [8 per cell]
O2 0.237 0.250 0.531 [8 per cell]

Results
The total energy is -5.362 eV/atom.